DFT (PBEsol) results for crystalline Li4Fe3Co2Cu3O16 at its relaxed geometry.

Cell lengths 10.0872, 5.5299, 9.1171 Å; angles 90.00, 93.96, 90.00 degrees
Space group Cm (No. 8)
Symmetry-distinct sites (fractional):
Li (0.0000, 0.0000, 0.0000) x2
Li (0.0148, 0.0000, 0.5035) x2
Li (0.1537, 0.5000, 0.9010) x2
Li (0.3390, 0.0000, 0.4058) x2
Fe (0.0872, 0.2619, 0.2210) x4
Fe (0.1741, 0.0000, 0.7239) x2
Co (0.1791, 0.5000, 0.4950) x2
Co (0.3343, 0.0000, 0.9932) x2
Cu (0.3331, 0.5000, 0.2170) x2
Cu (0.4138, 0.2484, 0.7167) x4
O (0.0087, 0.0000, 0.8057) x2
O (0.0105, 0.0000, 0.3104) x2
O (0.0260, 0.5000, 0.3532) x2
O (0.1083, 0.2551, 0.6071) x4
O (0.1612, 0.5000, 0.1102) x2
O (0.1656, 0.0000, 0.1197) x2
O (0.2331, 0.2761, 0.3539) x4
O (0.2440, 0.2108, 0.8660) x4
O (0.3239, 0.0000, 0.6204) x2
O (0.3465, 0.5000, 0.5862) x2
O (0.4258, 0.2372, 0.1069) x4
O (0.4659, 0.0000, 0.8603) x2

Computed properties:
The magnetization is 18.4 μB per cell. The total energy comes out at -6.44 eV per atom. Its mass density is 4.97 g cm⁻³. For the formation energy (no corrections), the calculation gives -1.185 eV per atom.

DFT (PBEsol) results for crystalline FeCo2CuN at its relaxed geometry.

Cell lengths 3.6757, 3.6757, 3.7112 Å; angles 90.00, 90.00, 90.00 degrees
Space group P4/mmm (No. 123)
Symmetry-distinct sites (fractional):
Fe (0.0000, 0.0000, 0.0000) x1
Co (0.0000, 0.5000, 0.5000) x2
Cu (0.5000, 0.5000, 0.0000) x1
N (0.0000, 0.0000, 0.5000) x1

Computed properties:
The magnetization is 4.6 μB per cell. The total energy comes out at -7.54 eV per atom. Its mass density is 8.32 g cm⁻³. For the formation energy (no corrections), the calculation gives -0.076 eV per atom.

DFT (PBEsol) results for crystalline FeCo2CuSi at its relaxed geometry.

Cell lengths 4.0247, 4.0247, 4.3210 Å; angles 90.00, 90.00, 90.00 degrees
Space group P4/mmm (No. 123)
Symmetry-distinct sites (fractional):
Fe (0.0000, 0.0000, 0.0000) x1
Co (0.0000, 0.5000, 0.0000) x2
Cu (0.0000, 0.0000, 0.5000) x1
Si (0.5000, 0.5000, 0.5000) x1

Computed properties:
The magnetization is 0.0 μB per cell. The total energy comes out at -5.64 eV per atom. Its mass density is 6.30 g cm⁻³. For the formation energy (no corrections), the calculation gives 1.266 eV per atom.

DFT (PBEsol) results for crystalline GaCo2CuO at its relaxed geometry.

Cell lengths 3.7365, 3.7365, 3.9264 Å; angles 90.00, 90.00, 90.00 degrees
Space group P4/mmm (No. 123)
Symmetry-distinct sites (fractional):
Ga (0.0000, 0.0000, 0.0000) x1
Co (0.0000, 0.5000, 0.5000) x2
Cu (0.5000, 0.5000, 0.0000) x1
O (0.5000, 0.5000, 0.5000) x1

Computed properties:
The magnetization is 1.2 μB per cell. The total energy comes out at -5.75 eV per atom. Its mass density is 8.09 g cm⁻³. For the formation energy (no corrections), the calculation gives -0.068 eV per atom.